(1)
## YMg6Ga (PBE)

Data for a relaxed structure of YMg6Ga.

Lattice parameters (Å, degrees): 4.9729 6.3700 11.7171 90.00 90.00 90.00
With the nearest neighbours (Å) after each atom.
Positions (direct):
1 Y 0.0000 0.0000 0.0000  2 Ga 3.02, 8 Mg 3.20-3.25
2 Y 0.0000 0.5000 0.5000  2 Ga 3.02, 8 Mg 3.20-3.25
3 Mg 0.0000 0.0000 0.5247  8 Mg 3.09-3.21, 2 Y 3.20
4 Mg 0.0000 0.2471 0.2613  7 Mg 3.02-3.22, 2 Ga 3.15, 1 Y 3.23
5 Mg 0.0000 0.2529 0.7613  7 Mg 3.02-3.22, 2 Ga 3.15, 1 Y 3.23
6 Mg 0.0000 0.5000 0.0247  8 Mg 3.09-3.21, 2 Y 3.20
7 Mg 0.0000 0.7471 0.7613  7 Mg 3.02-3.22, 2 Ga 3.15, 1 Y 3.23
8 Mg 0.0000 0.7529 0.2613  7 Mg 3.02-3.22, 2 Ga 3.15, 1 Y 3.23
9 Mg 0.5000 0.0000 0.3686  10 Mg 3.09-3.38, 2 Ga 3.19
10 Mg 0.5000 0.2489 0.6145  8 Mg 3.02-3.38, 1 Ga 3.21, 2 Y 3.25
11 Mg 0.5000 0.2511 0.1145  8 Mg 3.02-3.38, 1 Ga 3.21, 2 Y 3.25
12 Mg 0.5000 0.5000 0.8686  10 Mg 3.09-3.38, 2 Ga 3.19
13 Mg 0.5000 0.7489 0.1145  8 Mg 3.02-3.38, 1 Ga 3.21, 2 Y 3.25
14 Mg 0.5000 0.7511 0.6145  8 Mg 3.02-3.38, 1 Ga 3.21, 2 Y 3.25
15 Ga 0.5000 0.0000 0.8532  2 Y 3.02, 8 Mg 3.15-3.21
16 Ga 0.5000 0.5000 0.3532  2 Y 3.02, 8 Mg 3.15-3.21

Results
Final energy, eV/atom: -2.4541
M_tot, μB/f.u.: 0.0
Energy of formation, eV per atom: -0.072
Relative energy among the computed polymorphs, eV per atom: 0.010



(2)
## YMgGa3 (PBE)

Data for a relaxed structure of YMgGa3.

Lattice parameters (Å, degrees): 12.3424 12.3424 4.1859 90.00 90.00 160.88
With the nearest neighbours (Å) after each atom.
Positions (direct):
1 Y 0.0758 0.9242 0.7500  12 Ga 3.17-3.31
2 Y 0.9242 0.0758 0.2500  12 Ga 3.17-3.31
3 Mg 0.2057 0.7943 0.2500  7 Ga 2.73-2.98
4 Mg 0.7943 0.2057 0.7500  7 Ga 2.73-2.98
5 Ga 0.3177 0.6823 0.2500  2 Ga 2.51, 1 Mg 2.73
6 Ga 0.3747 0.6253 0.7500  3 Ga 2.44-2.51
7 Ga 0.4748 0.5252 0.7500  3 Ga 2.43-2.44
8 Ga 0.5252 0.4748 0.2500  3 Ga 2.43-2.44
9 Ga 0.6253 0.3747 0.2500  3 Ga 2.44-2.51
10 Ga 0.6823 0.3177 0.7500  2 Ga 2.51, 1 Mg 2.73

Results
Final energy, eV/atom: -3.8782
M_tot, μB/f.u.: 0.0
Energy of formation, eV per atom: -0.450



(3)
## YMgGa (PBE)

Data for a relaxed structure of YMgGa.

Lattice parameters (Å, degrees): 6.7223 6.7223 6.7223 90.00 90.00 90.00
With the nearest neighbours (Å) after each atom.
Positions (direct):
1 Y 0.0000 0.0000 0.0000  4 Ga 2.91
2 Y 0.0000 0.5000 0.5000  4 Ga 2.91
3 Y 0.5000 0.0000 0.5000  4 Ga 2.91
4 Y 0.5000 0.5000 0.0000  4 Ga 2.91
5 Mg 0.0000 0.0000 0.5000  4 Ga 2.91
6 Mg 0.0000 0.5000 0.0000  4 Ga 2.91
7 Mg 0.5000 0.0000 0.0000  4 Ga 2.91
8 Mg 0.5000 0.5000 0.5000  4 Ga 2.91
9 Ga 0.2500 0.2500 0.7500  4 Mg 2.91, 4 Y 2.91
10 Ga 0.2500 0.7500 0.2500  4 Mg 2.91, 4 Y 2.91
11 Ga 0.7500 0.2500 0.2500  4 Mg 2.91, 4 Y 2.91
12 Ga 0.7500 0.7500 0.7500  4 Mg 2.91, 4 Y 2.91

Results
Final energy, eV/atom: -4.0659
M_tot, μB/f.u.: 0.0
Energy of formation, eV per atom: -0.371
Relative energy among the computed polymorphs, eV per atom: 0.148



(4)
## YMgGa (PBE)

Data for a relaxed structure of YMgGa.

Lattice parameters (Å, degrees): 3.3864 3.3864 12.0654 90.00 90.00 90.00
With the nearest neighbours (Å) after each atom.
Positions (direct):
1 Y 0.0000 0.0000 0.0000  4 Ga 3.07, 4 Y 3.39, 4 Mg 3.43
2 Y 0.5000 0.5000 0.5000  4 Ga 3.07, 4 Y 3.39, 4 Mg 3.43
3 Mg 0.0000 0.0000 0.7034  4 Ga 2.91
4 Mg 0.5000 0.5000 0.2034  4 Ga 2.91
5 Ga 0.0000 0.0000 0.3407  4 Mg 2.91, 4 Y 3.07
6 Ga 0.5000 0.5000 0.8407  4 Mg 2.91, 4 Y 3.07

Results
Final energy, eV/atom: -3.9886
M_tot, μB/f.u.: 0.2
Energy of formation, eV per atom: -0.293
Relative energy among the computed polymorphs, eV per atom: 0.225